[1]
First-principles (GGA-PBE) data for a geometry-optimized La4Ho3ScSe8 structure, as listed in the Alexandria database.

```
data_La4Ho3ScSe8
_chemical_formula_sum 'La12 Ho9 Sc3 Se24'
_space_group_name_H-M_alt 'R -3 m'
_space_group_IT_number 166
_space_group_name_Hall '-R 3 2"'
_cell_length_a 8.2360
_cell_length_b 8.2360
_cell_length_c 20.8483
_cell_angle_alpha 90.00
_cell_angle_beta 90.00
_cell_angle_gamma 120.00
loop_
_atom_site_label
_atom_site_fract_x
_atom_site_fract_y
_atom_site_fract_z
La1 0.0000 0.0000 0.0000
La2 0.0000 0.5000 0.0000
Ho1 0.0000 0.5000 0.5000
Sc1 0.0000 0.0000 0.5000
Se1 0.0000 0.0000 0.2429
Se2 0.0067 0.5034 0.2414
```

---

[2]
First-principles (GGA-PBE) data for a geometry-optimized La3Ho3ScSe8 structure, as listed in the Alexandria database.

```
data_La3Ho3ScSe8
_chemical_formula_sum 'La9 Ho9 Sc3 Se24'
_space_group_name_H-M_alt 'R -3 m'
_space_group_IT_number 166
_space_group_name_Hall '-R 3 2"'
_cell_length_a 8.2213
_cell_length_b 8.2213
_cell_length_c 20.7505
_cell_angle_alpha 90.00
_cell_angle_beta 90.00
_cell_angle_gamma 120.00
loop_
_atom_site_label
_atom_site_fract_x
_atom_site_fract_y
_atom_site_fract_z
La1 0.0000 0.5000 0.0000
Ho1 0.0000 0.5000 0.5000
Sc1 0.0000 0.0000 0.5000
Se1 0.0000 0.0000 0.2434
Se2 0.0042 0.5021 0.2425
```

---

[3]
First-principles (GGA-PBE) data for a geometry-optimized LaHoSc2Se4 structure, as listed in the Alexandria database.

```
data_LaHoSc2Se4
_chemical_formula_sum 'La1 Ho1 Sc2 Se4'
_space_group_name_H-M_alt 'P 1 2/m 1'
_space_group_IT_number 10
_cell_length_a 6.992
_cell_length_b 3.981
_cell_length_c 7.041
_cell_angle_alpha 90.00
_cell_angle_beta 108.84
_cell_angle_gamma 90.00
loop_
_space_group_symop_operation_xyz
'x,y,z'
'-x,-y,-z'
'-x,y,-z'
'x,-y,z'
loop_
_atom_site_label
_atom_site_fract_x
_atom_site_fract_y
_atom_site_fract_z
La1 0.000 0.000 0.000
Ho1 0.500 0.500 0.000
Sc1 0.000 0.500 0.500
Sc2 0.500 0.000 0.500
Se1 0.253 0.000 0.730
Se2 0.268 0.500 0.277
```

---

[4]
First-principles (GGA-PBE) data for a geometry-optimized La4HoSc3Se8 structure, as listed in the Alexandria database.

```
data_La4HoSc3Se8
_chemical_formula_sum 'La12 Ho3 Sc9 Se24'
_space_group_name_H-M_alt 'R -3 m'
_space_group_IT_number 166
_space_group_name_Hall '-R 3 2"'
_cell_length_a 8.1246
_cell_length_b 8.1246
_cell_length_c 20.7206
_cell_angle_alpha 90.00
_cell_angle_beta 90.00
_cell_angle_gamma 120.00
loop_
_atom_site_label
_atom_site_fract_x
_atom_site_fract_y
_atom_site_fract_z
La1 0.0000 0.0000 0.0000
La2 0.0000 0.5000 0.0000
Ho1 0.0000 0.0000 0.5000
Sc1 0.0000 0.5000 0.5000
Se1 0.0000 0.0000 0.2387
Se2 0.0067 0.5034 0.7600
```

---

no.,formation energy without anion corrections (eV/f.u.)
1,-29.5
2,-28.2
3,-13.6
4,-28.7